Compound: PuMnNb
Source: Alexandria
Functional: PBE-GGA
Structure: relaxed

```
data_PuMnNb
_chemical_formula_sum 'Pu2 Mn2 Nb2'
_symmetry_space_group_name_H-M 'I 4 m m'
_symmetry_Int_Tables_number 107
_symmetry_space_group_name_Hall 'I 4 -2'
_cell_length_a 3.110
_cell_length_b 3.110
_cell_length_c 11.069
_cell_angle_alpha 90.00
_cell_angle_beta 90.00
_cell_angle_gamma 90.00
loop_
_atom_site_label
_atom_site_fract_x
_atom_site_fract_y
_atom_site_fract_z
_atom_site_occupancy
Pu1 0.000 0.000 0.000 1
Mn1 0.000 0.000 0.668 1
Nb1 0.000 0.000 0.298 1
```

Values from the calculation:
As for the density of states at the Fermi level: 6.20 states/eV/f.u. Its formation energy from the elements is 0.218 eV per atom.

***

Compound: PuMn2Nb
Source: Alexandria
Functional: PBE-GGA
Structure: relaxed

```
data_PuMn2Nb
_chemical_formula_sum 'Pu4 Mn8 Nb4'
_symmetry_space_group_name_H-M 'F m -3 m'
_symmetry_Int_Tables_number 225
_symmetry_space_group_name_Hall '-F 4 2 3'
_cell_length_a 6.369
_cell_length_b 6.369
_cell_length_c 6.369
_cell_angle_alpha 90.00
_cell_angle_beta 90.00
_cell_angle_gamma 90.00
loop_
_atom_site_label
_atom_site_fract_x
_atom_site_fract_y
_atom_site_fract_z
_atom_site_occupancy
Pu1 0.000 0.000 0.000 1
Mn1 0.250 0.250 0.250 1
Nb1 0.000 0.000 0.500 1
```

Values from the calculation:
As for the density of states at the Fermi level: 6.05 states/eV/f.u. Its formation energy from the elements is 0.166 eV per atom. For the energy above the lowest structure with this stoichiometry, the calculation gives 92 meV per atom.

***

Compound: Pu2MnNb
Source: Alexandria
Functional: PBE-GGA
Structure: relaxed

```
data_Pu2MnNb
_chemical_formula_sum 'Pu8 Mn4 Nb4'
_symmetry_space_group_name_H-M 'F m -3 m'
_symmetry_Int_Tables_number 225
_symmetry_space_group_name_Hall '-F 4 2 3'
_cell_length_a 6.827
_cell_length_b 6.827
_cell_length_c 6.827
_cell_angle_alpha 90.00
_cell_angle_beta 90.00
_cell_angle_gamma 90.00
loop_
_atom_site_label
_atom_site_fract_x
_atom_site_fract_y
_atom_site_fract_z
_atom_site_occupancy
Pu1 0.250 0.250 0.250 1
Mn1 0.000 0.000 0.000 1
Nb1 0.000 0.000 0.500 1
```

Values from the calculation:
As for the density of states at the Fermi level: 10.71 states/eV/f.u. Its formation energy from the elements is 0.343 eV per atom.

***

Compound: PuMn4Nb
Source: Alexandria
Functional: PBE-GGA
Structure: relaxed

```
data_PuMn4Nb
_chemical_formula_sum 'Pu4 Mn16 Nb4'
_symmetry_space_group_name_H-M 'F -4 3 m'
_symmetry_Int_Tables_number 216
_symmetry_space_group_name_Hall 'F -4 2 3'
_cell_length_a 6.989
_cell_length_b 6.989
_cell_length_c 6.989
_cell_angle_alpha 90.00
_cell_angle_beta 90.00
_cell_angle_gamma 90.00
loop_
_atom_site_label
_atom_site_fract_x
_atom_site_fract_y
_atom_site_fract_z
_atom_site_occupancy
Pu1 0.000 0.000 0.000 1
Mn1 0.125 0.125 0.375 1
Nb1 0.250 0.250 0.750 1
```

Values from the calculation:
As for the density of states at the Fermi level: 15.40 states/eV/f.u. Its formation energy from the elements is 0.104 eV per atom.

***

Compound: PuMn2Nb
Source: Alexandria
Functional: PBE-GGA
Structure: relaxed

```
data_PuMn2Nb
_chemical_formula_sum 'Pu1 Mn2 Nb1'
_symmetry_space_group_name_H-M 'P 4/m m m'
_symmetry_Int_Tables_number 123
_symmetry_space_group_name_Hall '-P 4 2'
_cell_length_a 3.101
_cell_length_b 3.101
_cell_length_c 6.982
_cell_angle_alpha 90.00
_cell_angle_beta 90.00
_cell_angle_gamma 90.00
loop_
_atom_site_label
_atom_site_fract_x
_atom_site_fract_y
_atom_site_fract_z
_atom_site_occupancy
Pu1 0.000 0.000 0.000 1
Mn1 0.500 0.500 0.284 1
Nb1 0.000 0.000 0.500 1
```

Values from the calculation:
As for the density of states at the Fermi level: 5.17 states/eV/f.u. Its formation energy from the elements is 0.074 eV per atom. For the energy above the lowest structure with this stoichiometry, the calculation gives 0 meV per atom.

***

Compound: PuMnNbTc
Source: Alexandria
Functional: PBE-GGA
Structure: relaxed

```
data_PuMnNbTc
_chemical_formula_sum 'Pu4 Mn4 Nb4 Tc4'
_symmetry_space_group_name_H-M 'F -4 3 m'
_symmetry_Int_Tables_number 216
_symmetry_space_group_name_Hall 'F -4 2 3'
_cell_length_a 6.478
_cell_length_b 6.478
_cell_length_c 6.478
_cell_angle_alpha 90.00
_cell_angle_beta 90.00
_cell_angle_gamma 90.00
loop_
_atom_site_label
_atom_site_fract_x
_atom_site_fract_y
_atom_site_fract_z
_atom_site_occupancy
Pu1 0.000 0.000 0.000 1
Mn1 0.250 0.250 0.750 1
Nb1 0.000 0.000 0.500 1
Tc1 0.250 0.250 0.250 1
```

Values from the calculation:
As for the density of states at the Fermi level: 5.30 states/eV/f.u. Its formation energy from the elements is 0.059 eV per atom.